Here is a relaxed NbSi2B crystal from Alexandria. Energies are from PBEsol.

Structure (extended XYZ):
```
8
Lattice="5.173 -0.023 0.000 -2.601 4.472 0.000 -1.286 -2.224 4.490" Properties=species:S:1:pos:R:3 pbc="T T T"
Nb 0.000 0.000 0.000
Nb -1.300 2.236 2.245
B 1.286 2.224 0.000
B 2.587 -0.012 2.245
Si 1.299 2.959 1.888
Si 0.631 0.377 2.602
Si -1.956 0.389 4.133
Si 2.599 0.723 0.357
```

Computed properties:
density of states at the Fermi level: 3.10 states/eV/cell
calculated total energy: -7.29 eV/atom
ρ: 5.12 g/cm³
raw formation energy: 0.042 eV per atom

Here is a relaxed BaBr2F8 crystal from Alexandria. Energies are from PBEsol.

Structure (extended XYZ):
```
22
Lattice="7.919 -0.067 0.000 -3.933 6.874 0.000 -1.993 -3.403 6.867" Properties=species:S:1:pos:R:3 pbc="T T T"
Ba 0.000 0.000 0.000
Ba 3.959 -0.034 3.434
Br 2.911 4.082 2.643
Br 0.143 1.132 4.224
Br -0.818 3.834 0.449
Br 1.751 -2.241 6.418
F 3.913 2.606 3.259
F -1.634 1.284 3.608
F -0.962 4.806 2.059
F 2.670 -1.891 4.808
F 0.120 2.421 1.314
F 0.060 -2.114 5.553
F -0.227 2.212 5.747
F 4.034 4.287 1.120
F 1.949 5.625 1.962
F 1.959 1.049 4.905
F -2.651 -0.644 5.707
F 2.728 0.776 1.161
F 0.656 0.000 2.743
F 1.672 3.975 4.125
F 5.385 1.032 0.566
F -3.727 1.798 6.301
```

Computed properties:
density of states at the Fermi level: 0.00 states/eV/cell
calculated total energy: -3.76 eV/atom
ρ: 4.01 g/cm³
raw formation energy: -1.819 eV per atom

Here is a relaxed BaAs3Ru crystal from Alexandria. Energies are from PBEsol.

Structure (extended XYZ):
```
5
Lattice="-2.594 2.803 -3.051 -3.835 -0.264 3.019 1.567 3.996 2.339" Properties=species:S:1:pos:R:3 pbc="T T T"
Ru 0.000 0.000 0.000
As -1.918 -0.132 1.509
As 0.783 1.998 1.170
As -1.297 1.402 -1.525
Ba -2.431 3.268 1.154
```

Computed properties:
density of states at the Fermi level: 5.33 states/eV/cell
calculated total energy: -5.67 eV/atom
ρ: 6.59 g/cm³
E_form: -66.8 kJ/mol of formula units